# Mg2CoAgH6

A geometry-optimized Mg2CoAgH6 structure (PBE-GGA, Alexandria).

Unit cell a=5.5961 b=4.3226 c=4.3226 alpha=120.00 beta=90.00 gamma=90.00
Closest atoms and distances in Å follow each position.
Atoms (fractional coordinates):
H 0.1566 0.8296 0.6592  1 Co 1.55
H 0.1566 0.8296 0.1704  1 Co 1.55
H 0.8434 0.1704 0.3408  1 Co 1.55
H 0.8434 0.1704 0.8296  1 Co 1.55
H 0.1566 0.3408 0.1704  1 Co 1.55
H 0.8434 0.6592 0.8296  1 Co 1.55
Co 0.0000 0.0000 0.0000  6 H 1.55
Mg 0.7937 0.6667 0.3333  9 H 2.18-2.37
Mg 0.2063 0.3333 0.6667  9 H 2.18-2.37
Ag 0.5000 0.0000 0.0000  6 H 2.31

## Properties
DFT total energy in eV/cell: -33.85